This record from the Alexandria database describes a geometry-optimized LiCeThAl structure. The functional is GGA-PBE.

Properties
SG = F-43m, No. 216

Cell lengths 7.359, 7.359, 7.359 Å; angles 90.00, 90.00, 90.00 degrees
Fractional positions:
Li: 0.000 0.000 0.000
Li: 0.000 0.500 0.500
Li: 0.500 0.000 0.500
Li: 0.500 0.500 0.000
Ce: 0.250 0.250 0.250
Ce: 0.250 0.750 0.750
Ce: 0.750 0.250 0.750
Ce: 0.750 0.750 0.250
Th: 0.250 0.250 0.750
Th: 0.250 0.750 0.250
Th: 0.750 0.250 0.250
Th: 0.750 0.750 0.750
Al: 0.000 0.000 0.500
Al: 0.000 0.500 0.000
Al: 0.500 0.000 0.000
Al: 0.500 0.500 0.500

=====

This record from the Alexandria database describes a geometry-optimized AlSnOs2 structure. The functional is GGA-PBE.

Properties
SG = Fm-3m, No. 225

Cell lengths 6.271, 6.271, 6.271 Å; angles 90.00, 90.00, 90.00 degrees
Fractional positions:
Al: 0.000 0.000 0.000
Al: 0.000 0.500 0.500
Al: 0.500 0.000 0.500
Al: 0.500 0.500 0.000
Sn: 0.000 0.000 0.500
Sn: 0.000 0.500 0.000
Sn: 0.500 0.000 0.000
Sn: 0.500 0.500 0.500
Os: 0.250 0.250 0.250
Os: 0.250 0.250 0.750
Os: 0.250 0.750 0.250
Os: 0.250 0.750 0.750
Os: 0.750 0.250 0.250
Os: 0.750 0.250 0.750
Os: 0.750 0.750 0.250
Os: 0.750 0.750 0.750

=====

This record from the Alexandria database describes a geometry-optimized Tc3Ru structure. The functional is GGA-PBE.

Properties
SG = Fm-3m, No. 225

Cell lengths 6.169, 6.169, 6.169 Å; angles 90.00, 90.00, 90.00 degrees
Fractional positions:
Tc: 0.000 0.000 0.000
Tc: 0.000 0.500 0.500
Tc: 0.250 0.250 0.250
Tc: 0.250 0.250 0.750
Tc: 0.250 0.750 0.250
Tc: 0.250 0.750 0.750
Tc: 0.500 0.000 0.500
Tc: 0.500 0.500 0.000
Tc: 0.750 0.250 0.250
Tc: 0.750 0.250 0.750
Tc: 0.750 0.750 0.250
Tc: 0.750 0.750 0.750
Ru: 0.000 0.000 0.500
Ru: 0.000 0.500 0.000
Ru: 0.500 0.000 0.000
Ru: 0.500 0.500 0.500

=====

This record from the Alexandria database describes a geometry-optimized NaGaPb structure. The functional is GGA-PBE.

Properties
SG = I4/mmm, No. 139

Cell lengths 8.515, 8.515, 8.515 Å; angles 96.31, 96.31, 141.29 degrees
Fractional positions:
Na: 0.000 0.218 0.218
Na: 0.000 0.782 0.782
Na: 0.218 0.000 0.218
Na: 0.782 0.000 0.782
Ga: 0.383 0.383 0.765
Ga: 0.383 0.617 0.000
Ga: 0.617 0.383 0.000
Ga: 0.617 0.617 0.235
Pb: 0.145 0.500 0.645
Pb: 0.500 0.145 0.645
Pb: 0.500 0.855 0.355
Pb: 0.855 0.500 0.355

=====

| no. | total moment (μB per formula unit) | calculated total energy (eV/f.u.) |
| --- | --- | --- |
| 1 | 0.7 | -19.12 |
| 2 | 0.0 | -30.02 |
| 3 | 0.7 | -38.88 |
| 4 | 0.0 | -7.84 |